[1]
First-principles (PBE) data for crystalline TcNi6Sb at its relaxed geometry, as listed in the Alexandria database.

total magnetization: 21.03 μB per cell
density of states at the Fermi level: 70.72 states/eV per cell
uncorrected formation energy: -0.001 eV/atom

a b c (Å): 7.3613 10.3944 10.4140
angles (deg): 90.00 90.00 90.00
Last column: nearest neighbours and their distance in Å.
Space group Cmmm (No. 65)
Inequivalent atoms, fractional coordinates:
Tc1 0.0000 0.0000 0.2468  12 Ni 2.55-2.64
Tc2 0.0000 0.2479 0.0000  12 Ni 2.53-2.62
Ni1 0.0000 0.0000 0.0000  4 Tc 2.57-2.58, 8 Ni 2.57
Ni2 0.0000 0.0000 0.5000  8 Ni 2.58, 2 Sb 2.61, 2 Tc 2.64
Ni3 0.0000 0.2455 0.2431  8 Ni 2.53-2.68, 2 Tc 2.53-2.55, 2 Sb 2.65-2.68
Ni4 0.0000 0.5000 0.0000  2 Sb 2.57, 8 Ni 2.62, 2 Tc 2.62
Ni5 0.0000 0.5000 0.5000  4 Sb 2.59-2.64, 8 Ni 2.65
Ni6 0.2435 0.1231 0.3706  1 Tc 2.55, 8 Ni 2.56-2.69, 3 Sb 2.61-2.66
Ni7 0.2457 0.1273 0.1211  8 Ni 2.52-2.65, 3 Tc 2.54-2.60, 1 Sb 2.64
Sb1 0.0000 0.2507 0.5000  12 Ni 2.59-2.68
Sb2 0.0000 0.5000 0.2467  12 Ni 2.57-2.65


[2]
First-principles (PBE) data for crystalline TcNiSb2 at its relaxed geometry, as listed in the Alexandria database.

total magnetization: 0.00 μB per cell
polymorph energy (0 for the lowest one): 230 meV per atom
density of states at the Fermi level: 7.83 states/eV per cell
uncorrected formation energy: 0.239 eV/atom

a b c (Å): 8.2513 3.3441 5.3610
angles (deg): 90.00 101.60 90.00
Last column: nearest neighbours and their distance in Å.
Space group C2/m (No. 12)
Inequivalent atoms, fractional coordinates:
Tc1 0.0000 0.0000 0.0000  6 Sb 2.71-2.74
Ni1 0.0000 0.5000 0.5000  6 Sb 2.65-2.82
Sb1 0.2441 0.5000 0.2469  3 Ni 2.65-2.82, 3 Tc 2.71-2.74


[3]
First-principles (PBE) data for crystalline TcNiSb2 at its relaxed geometry, as listed in the Alexandria database.

total magnetization: 0.00 μB per cell
polymorph energy (0 for the lowest one): 177 meV per atom
density of states at the Fermi level: 8.91 states/eV per cell
uncorrected formation energy: 0.186 eV/atom

a b c (Å): 3.2184 4.1037 13.1827
angles (deg): 90.00 90.00 90.00
Last column: nearest neighbours and their distance in Å.
Space group Imm2 (No. 44)
Inequivalent atoms, fractional coordinates:
Tc1 0.0000 0.0000 0.0000  2 Ni 2.58, 6 Sb 2.74-2.77
Ni1 0.0000 0.5000 0.1185  2 Tc 2.58, 4 Sb 2.70
Sb1 0.0000 0.0000 0.4361  4 Tc 2.74, 2 Ni 2.89
Sb2 0.0000 0.5000 0.6711  4 Ni 2.70, 2 Tc 2.77


[4]
First-principles (PBE) data for crystalline TcNiSb2 at its relaxed geometry, as listed in the Alexandria database.

total magnetization: 3.73 μB per cell
polymorph energy (0 for the lowest one): 270 meV per atom
density of states at the Fermi level: 18.39 states/eV per cell
uncorrected formation energy: 0.279 eV/atom

a b c (Å): 6.5707 6.5707 6.5707
angles (deg): 90.00 90.00 90.00
Last column: nearest neighbours and their distance in Å.
Space group Fm-3m (No. 225)
Inequivalent atoms, fractional coordinates:
Tc1 0.0000 0.0000 0.0000  8 Sb 2.85
Ni1 0.0000 0.0000 0.5000  8 Sb 2.85
Sb1 0.2500 0.2500 0.2500  4 Tc 2.85, 4 Ni 2.85


[5]
First-principles (PBE) data for crystalline TcNi2Sb at its relaxed geometry, as listed in the Alexandria database.

total magnetization: 0.00 μB per cell
polymorph energy (0 for the lowest one): 67 meV per atom
density of states at the Fermi level: 3.50 states/eV per cell
uncorrected formation energy: 0.142 eV/atom

a b c (Å): 2.8862 4.2324 4.6744
angles (deg): 90.00 90.00 90.00
Last column: nearest neighbours and their distance in Å.
Space group Pmm2 (No. 25)
Inequivalent atoms, fractional coordinates:
Tc1 0.0000 0.0000 0.0000  8 Ni 2.61-2.88, 2 Sb 2.71, 2 Tc 2.89
Ni1 0.5000 0.0000 0.5340  2 Ni 2.55, 2 Tc 2.61, 4 Sb 2.68
Ni2 0.5000 0.5000 0.8367  2 Ni 2.55, 4 Sb 2.64-2.85, 4 Tc 2.67
Sb1 0.0000 0.5000 0.3626  8 Ni 2.64-2.85, 2 Tc 2.71, 2 Sb 2.89


[6]
First-principles (PBE) data for crystalline TcNi2Sb at its relaxed geometry, as listed in the Alexandria database.

total magnetization: 8.00 μB per cell
polymorph energy (0 for the lowest one): 408 meV per atom
density of states at the Fermi level: 14.91 states/eV per cell
uncorrected formation energy: 0.483 eV/atom

a b c (Å): 3.8141 3.8141 17.5801
angles (deg): 90.00 90.00 90.00
Last column: nearest neighbours and their distance in Å.
Space group I-42d (No. 122)
Inequivalent atoms, fractional coordinates:
Tc1 0.0000 0.0000 0.0000  4 Ni 2.56, 4 Sb 2.70
Ni1 0.2351 0.2500 0.1250  2 Tc 2.56, 2 Sb 2.60, 4 Ni 2.62-2.78
Sb1 0.0000 0.0000 0.5000  4 Ni 2.60, 4 Tc 2.70


[7]
First-principles (PBE) data for crystalline Tc2NiSb at its relaxed geometry, as listed in the Alexandria database.

total magnetization: 0.00 μB per cell
polymorph energy (0 for the lowest one): 138 meV per atom
density of states at the Fermi level: 5.84 states/eV per cell
uncorrected formation energy: 0.256 eV/atom

a b c (Å): 3.8316 3.8316 4.1343
angles (deg): 90.00 90.00 90.00
Last column: nearest neighbours and their distance in Å.
Space group P4/mmm (No. 123)
Inequivalent atoms, fractional coordinates:
Tc1 0.0000 0.5000 0.0000  4 Tc 2.71, 4 Sb 2.82, 4 Ni 2.82
Ni1 0.0000 0.0000 0.5000  4 Sb 2.71, 8 Tc 2.82
Sb1 0.5000 0.5000 0.5000  4 Ni 2.71, 8 Tc 2.82


[8]
First-principles (PBE) data for crystalline Tc2NiSb at its relaxed geometry, as listed in the Alexandria database.

total magnetization: 0.00 μB per cell
polymorph energy (0 for the lowest one): 214 meV per atom
density of states at the Fermi level: 9.65 states/eV per cell
uncorrected formation energy: 0.332 eV/atom

a b c (Å): 2.9283 2.9283 25.4256
angles (deg): 90.00 90.00 120.00
Last column: nearest neighbours and their distance in Å.
Space group R3m (No. 160, hexagonal axes)
Inequivalent atoms, fractional coordinates:
Tc1 0.0000 0.0000 0.0000  9 Tc 2.63-2.93, 3 Sb 2.89
Tc2 0.0000 0.0000 0.2541  9 Tc 2.63-2.93, 3 Ni 2.68
Ni1 0.0000 0.0000 0.5056  3 Sb 2.65, 3 Tc 2.68, 6 Ni 2.93
Sb1 0.0000 0.0000 0.7588  3 Ni 2.65, 3 Tc 2.89, 6 Sb 2.93


[9]
First-principles (PBE) data for crystalline TcNiSb3 at its relaxed geometry, as listed in the Alexandria database.

total magnetization: 0.00 μB per cell
polymorph energy (0 for the lowest one): 16 meV per atom
density of states at the Fermi level: 7.98 states/eV per cell
uncorrected formation energy: 0.866 eV/atom

a b c (Å): 5.1076 5.1076 5.1076
angles (deg): 90.00 90.00 90.00
Last column: nearest neighbours and their distance in Å.
Space group Pm-3m (No. 221)
Inequivalent atoms, fractional coordinates:
Tc1 0.0000 0.0000 0.0000  6 Sb 2.55
Ni1 0.5000 0.5000 0.5000  12 Sb 3.61
Sb1 0.0000 0.0000 0.5000  2 Tc 2.55


[10]
First-principles (PBE) data for crystalline TcNiSb2 at its relaxed geometry, as listed in the Alexandria database.

total magnetization: 0.00 μB per cell
polymorph energy (0 for the lowest one): 0 meV per atom
density of states at the Fermi level: 5.54 states/eV per cell
uncorrected formation energy: 0.009 eV/atom

a b c (Å): 4.1514 3.3509 10.2043
angles (deg): 90.00 90.00 90.00
Last column: nearest neighbours and their distance in Å.
Space group Amm2 (No. 38)
Inequivalent atoms, fractional coordinates:
Tc1 0.0000 0.0000 0.0000  2 Ni 2.72, 7 Sb 2.77-2.88
Ni1 0.5000 0.0000 0.8278  5 Sb 2.60-2.71, 2 Tc 2.72
Sb1 0.0000 0.0000 0.2819  4 Ni 2.71, 3 Tc 2.79-2.88
Sb2 0.5000 0.0000 0.5730  1 Ni 2.60, 4 Tc 2.77


[11]
First-principles (PBE) data for crystalline TcNi2Sb at its relaxed geometry, as listed in the Alexandria database.

total magnetization: 0.00 μB per cell
polymorph energy (0 for the lowest one): 321 meV per atom
density of states at the Fermi level: 17.12 states/eV per cell
uncorrected formation energy: 0.396 eV/atom

a b c (Å): 2.8982 2.8982 24.7414
angles (deg): 90.00 90.00 120.00
Last column: nearest neighbours and their distance in Å.
Space group R-3m (No. 166, hexagonal axes)
Inequivalent atoms, fractional coordinates:
Tc1 0.0000 0.0000 0.0000  6 Ni 2.61, 6 Tc 2.90
Ni1 0.0000 0.0000 0.2523  3 Tc 2.61, 3 Sb 2.70, 6 Ni 2.90
Sb1 0.0000 0.0000 0.5000  6 Ni 2.70, 6 Sb 2.90


[12]
First-principles (PBE) data for crystalline TcNiSb2 at its relaxed geometry, as listed in the Alexandria database.

total magnetization: 0.00 μB per cell
polymorph energy (0 for the lowest one): 135 meV per atom
density of states at the Fermi level: 11.15 states/eV per cell
uncorrected formation energy: 0.144 eV/atom

a b c (Å): 3.2718 3.2718 23.3269
angles (deg): 90.00 90.00 120.00
Last column: nearest neighbours and their distance in Å.
Space group R-3m (No. 166, hexagonal axes)
Inequivalent atoms, fractional coordinates:
Tc1 0.0000 0.0000 0.0000  6 Sb 2.77
Ni1 0.0000 0.0000 0.5000  6 Sb 2.66
Sb1 0.0000 0.0000 0.2468  3 Ni 2.66, 3 Tc 2.77


[13]
First-principles (PBE) data for crystalline Tc2NiSb at its relaxed geometry, as listed in the Alexandria database.

total magnetization: 0.00 μB per cell
polymorph energy (0 for the lowest one): 77 meV per atom
density of states at the Fermi level: 3.44 states/eV per cell
uncorrected formation energy: 0.195 eV/atom

a b c (Å): 4.3634 4.3634 3.1585
angles (deg): 90.00 90.00 90.00
Last column: nearest neighbours and their distance in Å.
Space group P4/mmm (No. 123)
Inequivalent atoms, fractional coordinates:
Tc1 0.0000 0.5000 0.0000  4 Sb 2.69, 4 Ni 2.69
Ni1 0.0000 0.0000 0.5000  8 Tc 2.69
Sb1 0.5000 0.5000 0.5000  8 Tc 2.69


[14]
First-principles (PBE) data for crystalline Tc2NiSb at its relaxed geometry, as listed in the Alexandria database.

total magnetization: 0.00 μB per cell
polymorph energy (0 for the lowest one): 60 meV per atom
density of states at the Fermi level: 6.51 states/eV per cell
uncorrected formation energy: 0.178 eV/atom

a b c (Å): 3.2183 4.3715 8.5233
angles (deg): 90.00 90.00 90.00
Last column: nearest neighbours and their distance in Å.
Space group Imm2 (No. 44)
Inequivalent atoms, fractional coordinates:
Tc1 0.0000 0.0000 0.0000  2 Ni 2.69, 4 Sb 2.72, 4 Tc 2.77-2.97
Tc2 0.0000 0.5000 0.2358  4 Sb 2.71-3.02, 4 Ni 2.72, 4 Tc 2.77-2.97
Ni1 0.0000 0.5000 0.7533  2 Sb 2.51, 6 Tc 2.69-2.72
Sb1 0.0000 0.0000 0.4798  2 Ni 2.51, 6 Tc 2.71-2.72


[15]
First-principles (PBE) data for crystalline TcNi2Sb at its relaxed geometry, as listed in the Alexandria database.

total magnetization: 0.00 μB per cell
polymorph energy (0 for the lowest one): 118 meV per atom
density of states at the Fermi level: 5.70 states/eV per cell
uncorrected formation energy: 0.193 eV/atom

a b c (Å): 3.2875 3.2875 5.3933
angles (deg): 90.00 90.00 90.00
Last column: nearest neighbours and their distance in Å.
Space group P4/mmm (No. 123)
Inequivalent atoms, fractional coordinates:
Tc1 0.0000 0.0000 0.0000  8 Ni 2.64, 2 Sb 2.70
Ni1 0.5000 0.5000 0.2317  1 Ni 2.50, 4 Tc 2.64, 4 Sb 2.74
Sb1 0.0000 0.0000 0.5000  2 Tc 2.70, 8 Ni 2.74


[16]
First-principles (PBE) data for crystalline Tc2NiSb at its relaxed geometry, as listed in the Alexandria database.

total magnetization: 0.00 μB per cell
polymorph energy (0 for the lowest one): 115 meV per atom
density of states at the Fermi level: 10.81 states/eV per cell
uncorrected formation energy: 0.233 eV/atom

a b c (Å): 3.9564 3.9564 7.7108
angles (deg): 90.00 90.00 90.00
Last column: nearest neighbours and their distance in Å.
Space group I4/mmm (No. 139)
Inequivalent atoms, fractional coordinates:
Tc1 0.0000 0.5000 0.2500  4 Sb 2.76, 4 Ni 2.76, 4 Tc 2.80
Ni1 0.0000 0.0000 0.0000  8 Tc 2.76, 4 Sb 2.80
Sb1 0.0000 0.0000 0.5000  8 Tc 2.76, 4 Ni 2.80


[17]
First-principles (PBE) data for crystalline Tc2NiSb at its relaxed geometry, as listed in the Alexandria database.

total magnetization: 0.00 μB per cell
polymorph energy (0 for the lowest one): 83 meV per atom
density of states at the Fermi level: 9.18 states/eV per cell
uncorrected formation energy: 0.202 eV/atom

a b c (Å): 8.7899 3.0688 4.6980
angles (deg): 90.00 101.27 90.00
Last column: nearest neighbours and their distance in Å.
Space group C2/m (No. 12)
Inequivalent atoms, fractional coordinates:
Tc1 0.2376 0.0000 0.2086  2 Tc 2.53, 3 Ni 2.62-2.68, 1 Sb 2.71
Ni1 0.0000 0.5000 0.0000  6 Tc 2.62-2.68, 4 Sb 2.81
Sb1 0.0000 0.0000 0.5000  6 Tc 2.71-2.88, 4 Ni 2.81


[18]
First-principles (PBE) data for crystalline Tc2NiSb at its relaxed geometry, as listed in the Alexandria database.

total magnetization: 0.00 μB per cell
polymorph energy (0 for the lowest one): 248 meV per atom
density of states at the Fermi level: 3.70 states/eV per cell
uncorrected formation energy: 0.366 eV/atom

a b c (Å): 3.0165 4.5553 4.6458
angles (deg): 90.00 92.44 90.00
Last column: nearest neighbours and their distance in Å.
Space group P2/m (No. 10)
Inequivalent atoms, fractional coordinates:
Tc1 0.2161 0.0000 0.2194  1 Tc 2.37, 2 Ni 2.65
Ni1 0.5000 0.5000 0.0000  4 Tc 2.65, 4 Sb 2.72-2.82
Sb1 0.0000 0.5000 0.5000  4 Ni 2.72-2.82, 4 Tc 2.72, 2 Sb 3.02


[19]
First-principles (PBE) data for crystalline Tc2NiSb at its relaxed geometry, as listed in the Alexandria database.

total magnetization: 0.00 μB per cell
polymorph energy (0 for the lowest one): 189 meV per atom
density of states at the Fermi level: 10.29 states/eV per cell
uncorrected formation energy: 0.307 eV/atom

a b c (Å): 3.2679 4.2879 8.7503
angles (deg): 90.00 90.00 90.00
Last column: nearest neighbours and their distance in Å.
Space group Immm (No. 71)
Inequivalent atoms, fractional coordinates:
Tc1 0.0000 0.0000 0.2423  2 Sb 2.68, 4 Tc 2.70, 2 Ni 2.78
Ni1 0.0000 0.5000 0.0000  4 Sb 2.70, 8 Tc 2.78-3.02
Sb1 0.0000 0.5000 0.5000  4 Tc 2.68, 4 Ni 2.70


[20]
First-principles (PBE) data for crystalline TcNiSb2 at its relaxed geometry, as listed in the Alexandria database.

total magnetization: 0.00 μB per cell
polymorph energy (0 for the lowest one): 489 meV per atom
density of states at the Fermi level: 12.47 states/eV per cell
uncorrected formation energy: 0.498 eV/atom

a b c (Å): 5.8823 5.8823 11.5730
angles (deg): 90.00 90.00 90.00
Last column: nearest neighbours and their distance in Å.
Space group I-42d (No. 122)
Inequivalent atoms, fractional coordinates:
Tc1 0.0000 0.0000 0.0000  4 Sb 2.58
Ni1 0.0000 0.0000 0.5000  4 Sb 2.49
Sb1 0.2369 0.2500 0.6250  2 Ni 2.49, 2 Tc 2.58